--- 1 ---
First-principles (GGA-PBE) data for a geometry-optimized Mn3GaH3 structure, as listed in Alexandria.

```
data_Mn3GaH3
_chemical_formula_sum 'Mn6 Ga2 H6'
_space_group_name_H-M_alt 'P m -3 n'
_space_group_IT_number 223
_space_group_name_Hall '-P 4n 2 3'
_cell_length_a 4.963
_cell_length_b 4.963
_cell_length_c 4.963
_cell_angle_alpha 90.00
_cell_angle_beta 90.00
_cell_angle_gamma 90.00
loop_
_atom_site_label
_atom_site_type_symbol
_atom_site_fract_x
_atom_site_fract_y
_atom_site_fract_z
Mn1 Mn 0.000 0.250 0.500
Ga1 Ga 0.000 0.000 0.000
H1 H 0.000 0.500 0.250
```

Calculated values
- D(E_F) (states/eV/cell) = 7.3
- crystal system = cubic

=====

--- 2 ---
First-principles (GGA-PBE) data for a geometry-optimized Mn3GaH3 structure, as listed in Alexandria.

```
data_Mn3GaH3
_chemical_formula_sum 'Mn18 Ga6 H18'
_space_group_name_H-M_alt 'R -3'
_space_group_IT_number 148
_space_group_name_Hall '-R 3'
_cell_length_a 4.8505
_cell_length_b 4.8505
_cell_length_c 18.5464
_cell_angle_alpha 90.00
_cell_angle_beta 90.00
_cell_angle_gamma 120.00
loop_
_atom_site_label
_atom_site_type_symbol
_atom_site_fract_x
_atom_site_fract_y
_atom_site_fract_z
Mn1 Mn 0.0062 0.6140 0.3870
Ga1 Ga 0.0000 0.0000 0.1654
H1 H 0.0062 0.7329 0.6226
```

Calculated values
- D(E_F) (states/eV/cell) = 25.2
- crystal system = trigonal

=====

Short version: 1 is the most stable of them.

=====

--- 1 ---
First-principles (GGA-PBE) data for a geometry-optimized MnGaMoHOs structure, as listed in Alexandria.

```
data_MnGaMoHOs
_chemical_formula_sum 'Mn1 Ga1 Mo1 H1 Os1'
_space_group_name_H-M_alt 'P 1 m 1'
_space_group_IT_number 6
_cell_length_a 4.481
_cell_length_b 2.794
_cell_length_c 4.742
_cell_angle_alpha 90.00
_cell_angle_beta 91.09
_cell_angle_gamma 90.00
loop_
_space_group_symop_operation_xyz
'x,y,z'
'x,-y,z'
loop_
_atom_site_label
_atom_site_type_symbol
_atom_site_fract_x
_atom_site_fract_y
_atom_site_fract_z
Mn1 Mn 0.000 0.000 0.000
Ga1 Ga 0.486 0.500 0.160
Mo1 Mo 0.485 0.000 0.667
H1 H 0.814 0.500 0.803
Os1 Os 0.995 0.500 0.471
```

Calculated values
- D(E_F) (states/eV/cell) = 3.0
- crystal system = monoclinic

=====

--- 2 ---
First-principles (GGA-PBE) data for a geometry-optimized MnGaMoHOs structure, as listed in Alexandria.

```
data_MnGaMoHOs
_chemical_formula_sum 'Mn1 Ga1 Mo1 H1 Os1'
_space_group_name_H-M_alt 'P m m 2'
_space_group_IT_number 25
_cell_length_a 2.833
_cell_length_b 3.916
_cell_length_c 5.341
_cell_angle_alpha 90.00
_cell_angle_beta 90.00
_cell_angle_gamma 90.00
loop_
_space_group_symop_operation_xyz
'x,y,z'
'-x,-y,z'
'-x,y,z'
'x,-y,z'
loop_
_atom_site_label
_atom_site_type_symbol
_atom_site_fract_x
_atom_site_fract_y
_atom_site_fract_z
Mn1 Mn 0.000 0.000 0.000
Ga1 Ga 0.500 0.500 0.212
Mo1 Mo 0.000 0.000 0.477
H1 H 0.500 0.000 0.754
Os1 Os 0.500 0.500 0.717
```

Calculated values
- D(E_F) (states/eV/cell) = 3.5
- crystal system = orthorhombic

=====

--- 3 ---
First-principles (GGA-PBE) data for a geometry-optimized MnGaMoHOs structure, as listed in Alexandria.

```
data_MnGaMoHOs
_chemical_formula_sum 'Mn2 Ga2 Mo2 H2 Os2'
_space_group_name_H-M_alt 'C 1 m 1'
_space_group_IT_number 8
_cell_length_a 9.567
_cell_length_b 2.908
_cell_length_c 4.621
_cell_angle_alpha 90.00
_cell_angle_beta 110.55
_cell_angle_gamma 90.00
loop_
_space_group_symop_operation_xyz
'x,y,z'
'x,-y,z'
'x+1/2,y+1/2,z'
'x+1/2,-y+1/2,z'
loop_
_atom_site_label
_atom_site_type_symbol
_atom_site_fract_x
_atom_site_fract_y
_atom_site_fract_z
Mn1 Mn 0.000 0.000 0.000
Ga1 Ga 0.265 0.000 0.649
Mo1 Mo 0.264 0.500 0.151
H1 H 0.068 0.500 0.875
Os1 Os 0.013 0.500 0.468
```

Calculated values
- D(E_F) (states/eV/cell) = 5.8
- crystal system = monoclinic

=====

--- 4 ---
First-principles (GGA-PBE) data for a geometry-optimized MnGaMoHOs structure, as listed in Alexandria.

```
data_MnGaMoHOs
_chemical_formula_sum 'Mn2 Ga2 Mo2 H2 Os2'
_space_group_name_H-M_alt 'C 1 m 1'
_space_group_IT_number 8
_cell_length_a 8.937
_cell_length_b 2.816
_cell_length_c 4.849
_cell_angle_alpha 90.00
_cell_angle_beta 100.62
_cell_angle_gamma 90.00
loop_
_space_group_symop_operation_xyz
'x,y,z'
'x,-y,z'
'x+1/2,y+1/2,z'
'x+1/2,-y+1/2,z'
loop_
_atom_site_label
_atom_site_type_symbol
_atom_site_fract_x
_atom_site_fract_y
_atom_site_fract_z
Mn1 Mn 0.000 0.000 0.000
Ga1 Ga 0.006 0.500 0.531
Mo1 Mo 0.243 0.500 0.243
H1 H 0.362 0.000 0.086
Os1 Os 0.252 0.000 0.735
```

Calculated values
- D(E_F) (states/eV/cell) = 6.4
- crystal system = monoclinic

=====

Short version: 1 is the most stable of them.

=====

--- 1 ---
First-principles (GGA-PBE) data for a geometry-optimized MnGaMoHOs structure, as listed in Alexandria.

```
data_MnGaMoHOs
_chemical_formula_sum 'Mn1 Ga1 Mo1 H1 Os1'
_space_group_name_H-M_alt 'P 1 m 1'
_space_group_IT_number 6
_cell_length_a 4.451
_cell_length_b 2.820
_cell_length_c 4.744
_cell_angle_alpha 90.00
_cell_angle_beta 90.75
_cell_angle_gamma 90.00
loop_
_space_group_symop_operation_xyz
'x,y,z'
'x,-y,z'
loop_
_atom_site_label
_atom_site_type_symbol
_atom_site_fract_x
_atom_site_fract_y
_atom_site_fract_z
Mn1 Mn 0.000 0.000 0.000
Ga1 Ga 0.485 0.500 0.146
Mo1 Mo 0.994 0.500 0.476
H1 H 0.857 0.500 0.840
Os1 Os 0.487 0.000 0.661
```

Calculated values
- D(E_F) (states/eV/cell) = 3.6
- crystal system = monoclinic

=====

--- 2 ---
First-principles (GGA-PBE) data for a geometry-optimized MnGaMoHOs structure, as listed in Alexandria.

```
data_MnGaMoHOs
_chemical_formula_sum 'Mn2 Ga2 Mo2 H2 Os2'
_space_group_name_H-M_alt 'C 1 m 1'
_space_group_IT_number 8
_cell_length_a 11.387
_cell_length_b 2.735
_cell_length_c 4.223
_cell_angle_alpha 90.00
_cell_angle_beta 106.98
_cell_angle_gamma 90.00
loop_
_space_group_symop_operation_xyz
'x,y,z'
'x,-y,z'
'x+1/2,y+1/2,z'
'x+1/2,-y+1/2,z'
loop_
_atom_site_label
_atom_site_type_symbol
_atom_site_fract_x
_atom_site_fract_y
_atom_site_fract_z
Mn1 Mn 0.000 0.000 0.000
Ga1 Ga 0.463 0.000 0.464
Mo1 Mo 0.209 0.500 0.255
H1 H 0.142 0.000 0.903
Os1 Os 0.303 0.000 0.828
```

Calculated values
- D(E_F) (states/eV/cell) = 6.4
- crystal system = monoclinic

=====

--- 3 ---
First-principles (GGA-PBE) data for a geometry-optimized MnGaMoHOs structure, as listed in Alexandria.

```
data_MnGaMoHOs
_chemical_formula_sum 'Mn2 Ga2 Mo2 H2 Os2'
_space_group_name_H-M_alt 'C 1 m 1'
_space_group_IT_number 8
_cell_length_a 9.006
_cell_length_b 2.765
_cell_length_c 4.836
_cell_angle_alpha 90.00
_cell_angle_beta 99.69
_cell_angle_gamma 90.00
loop_
_space_group_symop_operation_xyz
'x,y,z'
'x,-y,z'
'x+1/2,y+1/2,z'
'x+1/2,-y+1/2,z'
loop_
_atom_site_label
_atom_site_type_symbol
_atom_site_fract_x
_atom_site_fract_y
_atom_site_fract_z
Mn1 Mn 0.000 0.000 0.000
Ga1 Ga 0.465 0.000 0.512
Mo1 Mo 0.219 0.000 0.800
H1 H 0.400 0.000 0.045
Os1 Os 0.212 0.500 0.302
```

Calculated values
- D(E_F) (states/eV/cell) = 5.4
- crystal system = monoclinic

=====

Short version: 1 is the most stable of them.